A plane-wave DFT calculation with GGA-PBE was carried out for CoSe2I after structural relaxation.

**Volume**: 283 Å³ per cell
**DFT total energy**: -4.035 eV/atom
**Energy relative to the lowest polymorph listed for this composition**: 0.0000 eV/atom

Cell: 3.7158 3.7158 23.7084 Å, 90.00 90.00 120.00°
Space group R-3m (No. 166, hexagonal axes)
Unique sites:
1 Co 0.0000 0.0000 0.0000 (multiplicity 3)
2 Se 0.0000 0.0000 0.3808 (multiplicity 6)
3 I 0.0000 0.0000 0.5000 (multiplicity 3)